NaSbTe2Ru: relaxed, PBE.

a b c (Å): 5.488 5.488 4.983
angles (deg): 90.00 90.00 90.00
Fractional coordinates of all 5 atoms:
Na 0.000 0.000 0.000
Sb 0.500 0.500 0.000
Te 0.000 0.500 0.500
Te 0.500 0.000 0.500
Ru 0.500 0.500 0.500

Computed properties:
volume = 30.01 A^3/atom
DOS(E_F) = 6.560 states/eV per cell
space group = No. 123
distance to the lowest polymorph of the same formula = 0.0 meV/atom
E = -4.06 eV/atom
ΔE_f (raw) = 0.135 eV per atom
total magnetic moment = 0.0 μB/f.u.